This record from the Alexandria database describes a geometry-optimized KAlIn structure. The functional is GGA-PBE.

a = 5.007 Å, b = 5.007 Å, c = 4.175 Å
α = 90.00°, β = 90.00°, γ = 120.00°
Fractional coordinates of all 3 atoms:
In 0.667 0.333 0.167
Al 0.000 0.000 0.167
K 0.333 0.667 0.667

N(E_F) (states/eV/f.u.): 1.25
Energy above the most stable polymorph in this dataset (meV/atom): 0.0
Total DFT energy (no corrections) (eV/atom): -2.423
SG: P-6m2 (187)
V (Å³/atom): 30.217
Density (Mg/m³): 3.31
E_form (kcal/mol of atoms): 2.4